Entry 1:
The following is a DFT calculation (PBE) of crystalline AsP2 at its relaxed geometry.

Relative energy among the computed polymorphs, eV/f.u.: 0.74
ΔH_f (0 K), eV/f.u.: 1.07

```
12
Lattice="6.167 0.000 0.000 0.000 5.205 0.000 0.000 0.000 7.922" Properties=species:S:1:pos:R:3 pbc="T T T"
As 1.423 1.301 0.467
As 1.660 3.904 4.428
As 4.507 1.301 3.494
As 4.743 3.904 7.455
P 0.163 3.904 2.690
P 0.947 3.904 0.686
P 2.136 1.301 4.647
P 2.921 1.301 6.652
P 3.246 3.904 1.271
P 4.031 3.904 3.275
P 5.219 1.301 7.236
P 6.004 1.301 5.232
```



Entry 2:
The following is a DFT calculation (PBE) of crystalline PuPd6Au3 at its relaxed geometry.

Relative energy among the computed polymorphs, eV/f.u.: 0.88
ΔH_f (0 K), eV/f.u.: -1.09

```
10
Lattice="5.370 0.000 0.000 -2.685 4.651 0.000 0.000 0.000 7.238" Properties=species:S:1:pos:R:3 pbc="T T T"
Pu 0.000 0.000 0.000
Pd -1.165 2.017 5.901
Pd -1.521 2.634 1.337
Pd 2.329 0.000 5.901
Pd 1.165 2.017 1.337
Pd 3.041 0.000 1.337
Pd 1.521 2.634 5.901
Au 0.000 0.000 3.619
Au 0.000 3.100 3.619
Au 2.685 1.550 3.619
```



Entry 3:
The following is a DFT calculation (PBE) of crystalline YIrW2 at its relaxed geometry.

Relative energy among the computed polymorphs, eV/f.u.: 0.51
ΔH_f (0 K), eV/f.u.: 0.80

```
4
Lattice="2.914 0.000 0.000 0.000 4.304 0.000 -1.390 0.000 5.820" Properties=species:S:1:pos:R:3 pbc="T T T"
Y 0.000 0.000 0.000
Ir 1.677 2.152 1.572
W -0.125 2.152 4.090
W 0.658 0.000 2.895
```



Entry 4:
The following is a DFT calculation (PBE) of crystalline ZrPaCd at its relaxed geometry.

Relative energy among the computed polymorphs, eV/f.u.: 0.06
ΔH_f (0 K), eV/f.u.: 0.01

```
6
Lattice="3.528 0.000 0.000 0.000 3.528 0.000 0.000 0.000 11.165" Properties=species:S:1:pos:R:3 pbc="T T T"
Zr 0.882 0.882 2.756
Zr 2.646 2.646 8.410
Pa 0.882 0.882 6.410
Pa 2.646 2.646 4.755
Cd 0.882 0.882 10.297
Cd 2.646 2.646 0.869
```



Question: What is the formula in the first record?
Answer: AsP2